## YTa2Re (PBE-GGA)

Data for YTa2Re after structural relaxation.

Properties
energy above the most stable polymorph in this dataset = 153.4 meV per atom
total energy = -10.4084 eV/atom

Unit cell a=4.5101 b=2.9829 c=6.0297 alpha=77.90 beta=90.00 gamma=90.00
Fractional positions:
1 Re 0.5000 0.7482 0.7926
2 Ta 0.5000 0.2633 0.2072
3 Y 0.0000 0.5283 0.5119
4 Ta 0.0000 0.9602 0.9884